# BeCo3Pd

BeCo3Pd after structural relaxation (PBE, Alexandria via LeMat-Bulk).

Results
- Space-group type: Pm-3m, No. 221
- DFT total energy: -21.76 eV for the cell shown
- Offset from the most stable computed form: 1249 meV per atom
- Total magnetic moment: 6.29 μB/f.u.

Unit cell a=4.5248 b=4.5248 c=4.5248 alpha=90.00 beta=90.00 gamma=90.00
With the nearest neighbours (Å) after each atom.
Fractional positions:
Be: 0.0000 0.0000 0.0000  12 Co 3.20
Co: 0.0000 0.5000 0.5000  2 Pd 2.26
Co: 0.5000 0.0000 0.5000  2 Pd 2.26
Co: 0.5000 0.5000 0.0000  2 Pd 2.26
Pd: 0.5000 0.5000 0.5000  6 Co 2.26



# Be4Co3Pd

Be4Co3Pd after structural relaxation (PBE, Alexandria via LeMat-Bulk).

Results
- Space-group type: P4/mmm, No. 123
- DFT total energy: -44.29 eV for the cell shown
- Total magnetic moment: 0.73 μB/f.u.

Unit cell a=3.7537 b=3.7537 c=5.3168 alpha=90.00 beta=90.00 gamma=90.00
With the nearest neighbours (Å) after each atom.
Fractional positions:
Be: 0.0000 0.5000 0.2315  6 Co 2.24-2.36, 2 Pd 2.36, 1 Be 2.46
Be: 0.0000 0.5000 0.7685  6 Co 2.24-2.36, 2 Pd 2.36, 1 Be 2.46
Be: 0.5000 0.0000 0.2315  6 Co 2.24-2.36, 2 Pd 2.36, 1 Be 2.46
Be: 0.5000 0.0000 0.7685  6 Co 2.24-2.36, 2 Pd 2.36, 1 Be 2.46
Co: 0.0000 0.0000 0.0000  8 Be 2.24
Co: 0.0000 0.0000 0.5000  8 Be 2.36
Co: 0.5000 0.5000 0.0000  8 Be 2.24
Pd: 0.5000 0.5000 0.5000  8 Be 2.36



# Be3CoPd

Be3CoPd after structural relaxation (PBE, Alexandria via LeMat-Bulk).

Results
- Space-group type: Pm-3m, No. 221
- DFT total energy: -21.80 eV for the cell shown
- Offset from the most stable computed form: 0 meV per atom
- Total magnetic moment: 0.00 μB/f.u.

Unit cell a=3.8668 b=3.8668 c=3.8668 alpha=90.00 beta=90.00 gamma=90.00
With the nearest neighbours (Å) after each atom.
Fractional positions:
Be: 0.0000 0.0000 0.5000  2 Co 1.93
Be: 0.0000 0.5000 0.0000  2 Co 1.93
Be: 0.5000 0.0000 0.0000  2 Co 1.93
Co: 0.0000 0.0000 0.0000  6 Be 1.93
Pd: 0.5000 0.5000 0.5000  12 Be 2.73



# RbBe2CoPd

RbBe2CoPd after structural relaxation (PBE, Alexandria via LeMat-Bulk).

Results
- Space-group type: P4/mmm, No. 123
- DFT total energy: -17.16 eV for the cell shown
- Total magnetic moment: 2.14 μB/f.u.

Unit cell a=4.5121 b=4.5121 c=4.9439 alpha=90.00 beta=90.00 gamma=90.00
With the nearest neighbours (Å) after each atom.
Fractional positions:
Rb: 0.0000 0.0000 0.0000  4 Co 3.19, 8 Be 3.35
Be: 0.0000 0.5000 0.5000  2 Pd 2.26
Be: 0.5000 0.0000 0.5000  2 Pd 2.26
Co: 0.5000 0.5000 0.0000  2 Pd 2.47
Pd: 0.5000 0.5000 0.5000  4 Be 2.26, 2 Co 2.47



# ZrBeCoPd

ZrBeCoPd after structural relaxation (PBE, Alexandria via LeMat-Bulk).

Results
- Space-group type: F-43m, No. 216
- DFT total energy: -102.74 eV for the cell shown
- Total magnetic moment: 0.01 μB/f.u.

Unit cell a=6.1128 b=6.1128 c=6.1128 alpha=90.00 beta=90.00 gamma=90.00
With the nearest neighbours (Å) after each atom.
Fractional positions:
Zr: 0.0000 0.0000 0.0000  4 Co 2.65, 4 Pd 2.65
Zr: 0.0000 0.5000 0.5000  4 Co 2.65, 4 Pd 2.65
Zr: 0.5000 0.0000 0.5000  4 Co 2.65, 4 Pd 2.65
Zr: 0.5000 0.5000 0.0000  4 Co 2.65, 4 Pd 2.65
Be: 0.0000 0.0000 0.5000  4 Pd 2.65, 4 Co 2.65
Be: 0.0000 0.5000 0.0000  4 Pd 2.65, 4 Co 2.65
Be: 0.5000 0.0000 0.0000  4 Pd 2.65, 4 Co 2.65
Be: 0.5000 0.5000 0.5000  4 Pd 2.65, 4 Co 2.65
Co: 0.2500 0.2500 0.7500  4 Be 2.65, 4 Zr 2.65
Co: 0.2500 0.7500 0.2500  4 Be 2.65, 4 Zr 2.65
Co: 0.7500 0.2500 0.2500  4 Be 2.65, 4 Zr 2.65
Co: 0.7500 0.7500 0.7500  4 Be 2.65, 4 Zr 2.65
Pd: 0.2500 0.2500 0.2500  4 Zr 2.65, 4 Be 2.65
Pd: 0.2500 0.7500 0.7500  4 Zr 2.65, 4 Be 2.65
Pd: 0.7500 0.2500 0.7500  4 Zr 2.65, 4 Be 2.65
Pd: 0.7500 0.7500 0.2500  4 Zr 2.65, 4 Be 2.65



# Pm2BeCo2

Pm2BeCo2 after structural relaxation (PBE, Alexandria via LeMat-Bulk).

Results
- Space-group type: C2/c, No. 15
- DFT total energy: -55.70 eV for the cell shown
- Total magnetic moment: 0.00 μB/f.u.

Unit cell a=5.5105 b=5.5105 c=7.1737 alpha=101.37 beta=101.37 gamma=58.40
With the nearest neighbours (Å) after each atom.
Fractional positions:
Pm: 0.0263 0.2760 0.1532  6 Co 2.83-3.02, 1 Be 3.11
Pm: 0.2760 0.0263 0.6532  6 Co 2.83-3.02, 1 Be 3.11
Pm: 0.7240 0.9737 0.3468  6 Co 2.83-3.02, 1 Be 3.11
Pm: 0.9737 0.7240 0.8468  6 Co 2.83-3.02, 1 Be 3.11
Be: 0.3970 0.6030 0.2500  4 Co 2.28-2.29
Be: 0.6030 0.3970 0.7500  4 Co 2.28-2.29
Co: 0.2632 0.4982 0.4900  2 Be 2.28-2.29
Co: 0.4982 0.2632 0.9900  2 Be 2.28-2.29
Co: 0.5018 0.7368 0.0100  2 Be 2.28-2.29
Co: 0.7368 0.5018 0.5100  2 Be 2.28-2.29



# Pm3Be2Co7

Pm3Be2Co7 after structural relaxation (PBE, Alexandria via LeMat-Bulk).

Results
- Space-group type: R-3m, No. 166
- DFT total energy: -73.12 eV for the cell shown
- Total magnetic moment: 4.91 μB/f.u.

Unit cell a=8.3190 b=8.3190 c=8.3190 alpha=35.28 beta=35.28 gamma=35.28
With the nearest neighbours (Å) after each atom.
Fractional positions:
Pm: 0.0000 0.0000 0.0000  6 Be 2.91, 12 Co 3.08
Pm: 0.1404 0.1404 0.1404  12 Co 2.94-3.10, 4 Pm 3.16-3.28
Pm: 0.8596 0.8596 0.8596  12 Co 2.94-3.10, 4 Pm 3.16-3.28
Be: 0.3332 0.3332 0.3332  6 Co 2.29-2.30
Be: 0.6668 0.6668 0.6668  6 Co 2.29-2.30
Co: 0.0787 0.5746 0.5746  2 Be 2.29-2.30, 5 Co 2.50-2.56
Co: 0.4254 0.4254 0.9213  2 Be 2.29-2.30, 5 Co 2.50-2.56
Co: 0.4254 0.9213 0.4254  2 Be 2.29-2.30, 5 Co 2.50-2.56
Co: 0.5000 0.5000 0.5000  6 Co 2.56
Co: 0.5746 0.0787 0.5746  2 Be 2.29-2.30, 5 Co 2.50-2.56
Co: 0.5746 0.5746 0.0787  2 Be 2.29-2.30, 5 Co 2.50-2.56
Co: 0.9213 0.4254 0.4254  2 Be 2.29-2.30, 5 Co 2.50-2.56



# PmBe17Co

PmBe17Co after structural relaxation (PBE, Alexandria via LeMat-Bulk).

Results
- Space-group type: R3m, No. 160
- DFT total energy: -75.23 eV for the cell shown
- Total magnetic moment: 0.32 μB/f.u.

Unit cell a=5.6896 b=5.6896 c=5.6896 alpha=83.33 beta=83.33 gamma=83.33
With the nearest neighbours (Å) after each atom.
Fractional positions:
Pm: 0.0000 0.0000 0.0000  19 Be 2.75-2.89
Be: 0.0502 0.3584 0.6347  8 Be 2.09-2.33
Be: 0.0502 0.6347 0.3584  8 Be 2.09-2.33
Be: 0.2265 0.6840 0.6840  9 Be 2.14-2.29
Be: 0.2535 0.2535 0.2535  4 Be 2.11-2.29
Be: 0.3415 0.3415 0.8527  10 Be 2.13-2.35
Be: 0.3415 0.8527 0.3415  10 Be 2.13-2.35
Be: 0.3584 0.0503 0.6347  8 Be 2.09-2.33
Be: 0.3584 0.6347 0.0503  8 Be 2.09-2.33
Be: 0.4461 0.4461 0.4461  7 Be 2.11-2.35, 1 Co 2.29
Be: 0.5051 0.9981 0.9981  9 Be 2.18-2.41
Be: 0.6347 0.0503 0.3584  8 Be 2.09-2.33
Be: 0.6347 0.3584 0.0503  8 Be 2.09-2.33
Be: 0.6840 0.2265 0.6840  9 Be 2.14-2.29
Be: 0.6840 0.6840 0.2265  9 Be 2.14-2.29
Be: 0.8527 0.3415 0.3415  10 Be 2.13-2.35
Be: 0.9981 0.5051 0.9981  9 Be 2.18-2.41
Be: 0.9981 0.9981 0.5051  9 Be 2.18-2.41
Co: 0.6552 0.6552 0.6552  4 Be 2.29-2.41